Entry 1:
Entry from Alexandria: a geometry-optimized ScBeGeRu2 structure (GGA-PBE).

Space-group type: P4/mmm
Formation energy (meV/atom): 330
Total magnetization (μB/f.u.): 0.0

a b c (Å): 4.577 4.577 4.063
angles (deg): 90.00 90.00 90.00
Fractional positions:
Sc1 0.000 0.000 0.000
Be1 0.500 0.500 0.000
Ge1 0.500 0.500 0.500
Ru1 0.000 0.500 0.500
Ru2 0.500 0.000 0.500

=====

Entry 2:
Entry from Alexandria: a geometry-optimized PmPaP structure (GGA-PBE).

Space-group type: Cmcm
Formation energy (meV/atom): -533
Total magnetization (μB/f.u.): 0.0

a b c (Å): 12.438 12.438 3.462
angles (deg): 90.00 90.00 163.92
Fractional positions:
Pm1 0.188 0.812 0.750
Pm2 0.812 0.188 0.250
Pa1 0.055 0.945 0.750
Pa2 0.945 0.055 0.250
P1 0.384 0.616 0.750
P2 0.616 0.384 0.250

=====

Entry 3:
Entry from Alexandria: a geometry-optimized Co4Sn2C structure (GGA-PBE).

Space-group type: I4/mmm
Formation energy (meV/atom): 70
Total magnetization (μB/f.u.): 2.0

a b c (Å): 7.103 7.103 7.103
angles (deg): 148.97 148.97 44.45
Fractional positions:
Co1 0.000 0.500 0.500
Co2 0.138 0.138 0.000
Co3 0.500 0.000 0.500
Co4 0.862 0.862 0.000
Sn1 0.341 0.341 0.000
Sn2 0.659 0.659 0.000
C1 0.000 0.000 0.000

=====

- The highest total magnetization belongs to which entry?
  Co4Sn2C

=====

- total magnetization of number 3 (Co4Sn2C)?
  2.0 μB/f.u.

=====

- Look up the formation energy of the second one.
  -533 meV/atom

=====

Please write out number 2 again, unchanged.
Entry from Alexandria: a geometry-optimized PmPaP structure (GGA-PBE).

Space-group type: Cmcm
Formation energy (meV/atom): -533
Total magnetization (μB/f.u.): 0.0

a b c (Å): 12.438 12.438 3.462
angles (deg): 90.00 90.00 163.92
Fractional positions:
Pm1 0.188 0.812 0.750
Pm2 0.812 0.188 0.250
Pa1 0.055 0.945 0.750
Pa2 0.945 0.055 0.250
P1 0.384 0.616 0.750
P2 0.616 0.384 0.250